A relaxed La6Co3Cu crystal. Source: Alexandria, functional PBE-GGA.

Raw total energy (eV/atom): -5.59

a = 11.782 Å, b = 4.058 Å, c = 12.476 Å
α = 90.00°, β = 112.37°, γ = 90.00°
Space group P2_1/m (No. 11)
Asymmetric unit:
1 La 0.044 0.250 0.387 [2 per cell]
2 La 0.092 0.750 0.934 [2 per cell]
3 La 0.250 0.250 0.783 [2 per cell]
4 La 0.251 0.750 0.266 [2 per cell]
5 La 0.413 0.250 0.569 [2 per cell]
6 La 0.434 0.250 0.103 [2 per cell]
7 Co 0.003 0.250 0.775 [2 per cell]
8 Co 0.333 0.750 0.945 [2 per cell]
9 Co 0.413 0.250 0.339 [2 per cell]
10 Cu 0.207 0.750 0.571 [2 per cell]

A relaxed Rb3C crystal. Source: Alexandria, functional PBE-GGA.

Energy above the lowest structure with this stoichiometry (meV/atom): 49
Raw total energy (eV/atom): -1.90

a = 11.5820 Å, b = 11.5820 Å, c = 4.3088 Å
α = 90.00°, β = 90.00°, γ = 120.00°
Space group P6_3/mmc (No. 194)
Asymmetric unit:
1 Rb 0.2205 0.4411 0.2500 [6 per cell]
2 C 0.3333 0.6667 0.7500 [2 per cell]

A relaxed As3C crystal. Source: Alexandria, functional PBE-GGA.

Energy above the lowest structure with this stoichiometry (meV/atom): 1006
Raw total energy (eV/atom): -4.25

a = 3.638 Å, b = 3.638 Å, c = 10.039 Å
α = 90.00°, β = 90.00°, γ = 90.00°
Space group I4/mmm (No. 139)
Asymmetric unit:
1 As 0.000 0.000 0.000 [2 per cell]
2 As 0.000 0.500 0.250 [4 per cell]
3 C 0.000 0.000 0.500 [2 per cell]

Q: Which calculated formation energy values were calculated for the entries above? A: -0.097, 1.129, 1.547, in eV/atom.
Q: Which calculated density values were calculated for the entries above? A: 6.5, 1.8, 5.9, in g/cm3.